PaAl2Si: optimized geometry, PBE-GGA.

Size of the total moment ... 0.000 μB/atom
ρ ... 6.7 g/cm³
Electronic total energy ... -5.5868 eV/atom
Energy above the lowest structure with this stoichiometry ... 356 meV per atom
Formation energy (no corrections) ... 0.014 eV/atom

abc: 4.2906 4.2906 14.7024
angles: 90.00 90.00 120.00
Space group R-3m (No. 166, hexagonal axes)
One atom of each set of equivalent atoms:
1 Pa 0.0000 0.0000 0.0000 [3 per cell]
2 Al 0.0000 0.0000 0.2115 [6 per cell]
3 Si 0.0000 0.0000 0.5000 [3 per cell]

=====

PaAl2Si: optimized geometry, PBE-GGA.

Size of the total moment ... 0.000 μB/atom
ρ ... 6.6 g/cm³
Electronic total energy ... -5.8034 eV/atom
Energy above the lowest structure with this stoichiometry ... 140 meV per atom
Formation energy (no corrections) ... -0.202 eV/atom

abc: 4.0361 4.0706 9.5272
angles: 90.00 90.00 90.00
Space group Immm (No. 71)
One atom of each set of equivalent atoms:
1 Pa 0.0000 0.0000 0.0000 [2 per cell]
2 Al 0.0000 0.5000 0.2489 [4 per cell]
3 Si 0.0000 0.0000 0.5000 [2 per cell]

=====

Pa2AlSi3: optimized geometry, PBE-GGA.

Size of the total moment ... 0.000 μB/atom
ρ ... 8.2 g/cm³
Electronic total energy ... -6.9563 eV/atom
Formation energy (no corrections) ... -0.456 eV/atom

abc: 3.9411 4.0622 14.4919
angles: 90.00 90.00 90.00
Space group Imm2 (No. 44)
One atom of each set of equivalent atoms:
1 Pa 0.0000 0.0000 0.0000 [2 per cell]
2 Pa 0.0000 0.5000 0.2640 [2 per cell]
3 Al 0.0000 0.0000 0.5917 [2 per cell]
4 Si 0.0000 0.0000 0.4263 [2 per cell]
5 Si 0.0000 0.5000 0.6773 [2 per cell]
6 Si 0.0000 0.5000 0.8398 [2 per cell]

=====

PaAlSi2: optimized geometry, PBE-GGA.

Size of the total moment ... 0.000 μB/atom
ρ ... 7.2 g/cm³
Electronic total energy ... -6.2292 eV/atom
Formation energy (no corrections) ... -0.208 eV/atom

abc: 3.4468 3.4468 6.0885
angles: 90.00 90.00 90.00
Space group P4/mmm (No. 123)
One atom of each set of equivalent atoms:
1 Pa 0.0000 0.0000 0.0000 [1 per cell]
2 Al 0.0000 0.0000 0.5000 [1 per cell]
3 Si 0.5000 0.5000 0.2981 [2 per cell]

=====

PaAl2Si: optimized geometry, PBE-GGA.

Size of the total moment ... 0.000 μB/atom
ρ ... 6.8 g/cm³
Electronic total energy ... -5.9429 eV/atom
Energy above the lowest structure with this stoichiometry ... 0 meV per atom
Formation energy (no corrections) ... -0.342 eV/atom

abc: 4.1433 4.1433 4.4267
angles: 90.00 90.00 90.00
Space group P4/mmm (No. 123)
One atom of each set of equivalent atoms:
1 Pa 0.0000 0.0000 0.0000 [1 per cell]
2 Al 0.0000 0.5000 0.5000 [2 per cell]
3 Si 0.5000 0.5000 0.0000 [1 per cell]

=====

Pa3Al2Si4: optimized geometry, PBE-GGA.

Size of the total moment ... 0.000 μB/atom
ρ ... 8.2 g/cm³
Electronic total energy ... -6.8353 eV/atom
Formation energy (no corrections) ... -0.428 eV/atom

abc: 10.6593 4.1310 8.1705
angles: 90.00 103.38 90.00
Space group C2/m (No. 12)
One atom of each set of equivalent atoms:
1 Pa 0.0000 0.0000 0.0000 [2 per cell]
2 Pa 0.1635 0.5000 0.6710 [4 per cell]
3 Al 0.1143 0.5000 0.2791 [4 per cell]
4 Si 0.0583 0.0000 0.3934 [4 per cell]
5 Si 0.2228 0.5000 0.0528 [4 per cell]

=====

Pa2Al2Si4Tc: optimized geometry, PBE-GGA.

Size of the total moment ... 0.000 μB/atom
ρ ... 7.7 g/cm³
Electronic total energy ... -6.9795 eV/atom
Formation energy (no corrections) ... -0.476 eV/atom

abc: 6.0813 6.0813 8.4412
angles: 90.00 90.00 90.00
Space group I4/mmm (No. 139)
One atom of each set of equivalent atoms:
1 Pa 0.0000 0.5000 0.2500 [4 per cell]
2 Al 0.0000 0.0000 0.2093 [4 per cell]
3 Si 0.2192 0.2192 0.0000 [8 per cell]
4 Tc 0.0000 0.0000 0.5000 [2 per cell]

=====

PaAlSi2Tc: optimized geometry, PBE-GGA.

Size of the total moment ... 0.000 μB/atom
ρ ... 7.9 g/cm³
Electronic total energy ... -7.3251 eV/atom
Formation energy (no corrections) ... -0.435 eV/atom

abc: 5.6920 5.4418 5.6252
angles: 90.00 90.00 90.00
Space group Pmma (No. 51)
One atom of each set of equivalent atoms:
1 Pa 0.2500 0.0000 0.2194 [2 per cell]
2 Al 0.2500 0.5000 0.3811 [2 per cell]
3 Si 0.2500 0.2228 0.7348 [4 per cell]
4 Tc 0.0000 0.5000 0.0000 [2 per cell]

=====

Pa2Al2VSi4: optimized geometry, PBE-GGA.

Size of the total moment ... 0.000 μB/atom
ρ ... 7.2 g/cm³
Electronic total energy ... -6.7742 eV/atom
Formation energy (no corrections) ... -0.409 eV/atom

abc: 6.0394 6.0394 8.5359
angles: 90.00 90.00 90.00
Space group I4/mmm (No. 139)
One atom of each set of equivalent atoms:
1 Pa 0.0000 0.5000 0.2500 [4 per cell]
2 Al 0.0000 0.0000 0.2107 [4 per cell]
3 V 0.0000 0.0000 0.5000 [2 per cell]
4 Si 0.2165 0.2165 0.0000 [8 per cell]

=====

PaAl8Si2W: optimized geometry, PBE-GGA.

Size of the total moment ... 0.000 μB/atom
ρ ... 5.2 g/cm³
Electronic total energy ... -5.2056 eV/atom
Formation energy (no corrections) ... 0.064 eV/atom

abc: 7.8447 5.1256 10.8069
angles: 90.00 90.15 90.00
Space group C2/m (No. 12)
One atom of each set of equivalent atoms:
1 Pa 0.0000 0.0000 0.0000 [2 per cell]
2 Al 0.0516 0.2450 0.7060 [8 per cell]
3 Al 0.1657 0.5000 0.4673 [4 per cell]
4 Al 0.1699 0.5000 0.1434 [4 per cell]
5 Si 0.1611 0.5000 0.8881 [4 per cell]
6 W 0.0000 0.0000 0.5000 [2 per cell]

=====

Sm2PaAl: optimized geometry, PBE-GGA.

Formation enthalpy at 0 K ... 0.1 eV/f.u.
Size of the total moment ... 0.000 μB/atom
ρ ... 8.8 g/cm³
Electronic total energy ... -5.6510 eV/atom
Energy above the lowest structure with this stoichiometry ... 30 meV per atom

abc: 4.8041 4.8041 4.5828
angles: 90.00 90.00 90.00
Space group P4/mmm (No. 123)
One atom of each set of equivalent atoms:
1 Sm 0.0000 0.5000 0.0000 [2 per cell]
2 Pa 0.0000 0.0000 0.5000 [1 per cell]
3 Al 0.5000 0.5000 0.5000 [1 per cell]

=====

SmPa2Al: optimized geometry, PBE-GGA.

Formation enthalpy at 0 K ... 0.1 eV/f.u.
Size of the total moment ... 0.000 μB/atom
ρ ... 10.8 g/cm³
Electronic total energy ... -6.8371 eV/atom
Energy above the lowest structure with this stoichiometry ... 0 meV per atom

abc: 4.4384 4.4384 5.0138
angles: 90.00 90.00 90.00
Space group P4/mmm (No. 123)
One atom of each set of equivalent atoms:
1 Sm 0.0000 0.0000 0.0000 [1 per cell]
2 Pa 0.0000 0.5000 0.5000 [2 per cell]
3 Al 0.5000 0.5000 0.0000 [1 per cell]

=====

SmPaAl: optimized geometry, PBE-GGA.

Formation enthalpy at 0 K ... 0.0 eV/f.u.
Size of the total moment ... 0.000 μB/atom
ρ ... 9.1 g/cm³
Electronic total energy ... -6.0024 eV/atom
Energy above the lowest structure with this stoichiometry ... 0 meV per atom

abc: 3.2193 3.2193 14.4290
angles: 90.00 90.00 90.00
Space group I4mm (No. 107)
One atom of each set of equivalent atoms:
1 Sm 0.0000 0.0000 0.0000 [2 per cell]
2 Pa 0.0000 0.0000 0.3055 [2 per cell]
3 Al 0.0000 0.0000 0.6581 [2 per cell]

=====

SmPa2Al9: optimized geometry, PBE-GGA.

Formation enthalpy at 0 K ... -3.6 eV/f.u.
Size of the total moment ... 0.000 μB/atom
ρ ... 5.9 g/cm³
Electronic total energy ... -5.0839 eV/atom

abc: 4.3075 4.3075 12.9610
angles: 90.00 90.00 90.00
Space group P4/mmm (No. 123)
One atom of each set of equivalent atoms:
1 Sm 0.0000 0.0000 0.0000 [1 per cell]
2 Pa 0.0000 0.0000 0.3339 [2 per cell]
3 Al 0.0000 0.5000 0.1683 [4 per cell]
4 Al 0.0000 0.5000 0.5000 [2 per cell]
5 Al 0.5000 0.5000 0.0000 [1 per cell]
6 Al 0.5000 0.5000 0.3340 [2 per cell]

=====

Sm3PaAl8: optimized geometry, PBE-GGA.

Formation enthalpy at 0 K ... -5.1 eV/f.u.
Size of the total moment ... 0.000 μB/atom
ρ ... 6.0 g/cm³
Electronic total energy ... -4.8881 eV/atom

abc: 5.5802 5.5802 9.2636
angles: 90.00 90.00 120.00
Space group P3m1 (No. 156)
One atom of each set of equivalent atoms:
1 Sm 0.0000 0.0000 0.0000 [1 per cell]
2 Sm 0.0000 0.0000 0.3677 [1 per cell]
3 Sm 0.3333 0.6667 0.8590 [1 per cell]
4 Pa 0.3333 0.6667 0.5023 [1 per cell]
5 Al 0.0083 0.5041 0.1862 [3 per cell]
6 Al 0.3268 0.1634 0.6794 [3 per cell]
7 Al 0.6667 0.3333 0.4331 [1 per cell]
8 Al 0.6667 0.3333 0.9381 [1 per cell]

=====

SmPaAl: optimized geometry, PBE-GGA.

Formation enthalpy at 0 K ... 0.5 eV/f.u.
Size of the total moment ... 0.000 μB/atom
ρ ... 9.6 g/cm³
Electronic total energy ... -5.8148 eV/atom
Energy above the lowest structure with this stoichiometry ... 188 meV per atom

abc: 5.1788 5.1788 3.0462
angles: 90.00 90.00 120.00
Space group P-6m2 (No. 187)
One atom of each set of equivalent atoms:
1 Sm 0.0000 0.0000 0.0000 [1 per cell]
2 Pa 0.6667 0.3333 0.0000 [1 per cell]
3 Al 0.3333 0.6667 0.5000 [1 per cell]

=====

SmPaAl: optimized geometry, PBE-GGA.

Formation enthalpy at 0 K ... 3.1 eV/f.u.
Size of the total moment ... 0.000 μB/atom
ρ ... 7.5 g/cm³
Electronic total energy ... -4.9494 eV/atom
Energy above the lowest structure with this stoichiometry ... 1053 meV per atom

abc: 5.5658 5.5658 5.8613
angles: 90.00 90.00 90.00
Space group P4_2/mmc (No. 131)
One atom of each set of equivalent atoms:
1 Sm 0.0000 0.0000 0.0000 [2 per cell]
2 Pa 0.0000 0.5000 0.0000 [2 per cell]
3 Al 0.5000 0.5000 0.2500 [2 per cell]

=====

Sm2PaAl: optimized geometry, PBE-GGA.

Formation enthalpy at 0 K ... 0.8 eV/f.u.
Size of the total moment ... 0.000 μB/atom
ρ ... 8.7 g/cm³
Electronic total energy ... -5.4766 eV/atom
Energy above the lowest structure with this stoichiometry ... 204 meV per atom

abc: 7.5172 7.5172 7.5172
angles: 90.00 90.00 90.00
Space group Fm-3m (No. 225)
One atom of each set of equivalent atoms:
1 Sm 0.2500 0.2500 0.2500 [8 per cell]
2 Pa 0.0000 0.0000 0.0000 [4 per cell]
3 Al 0.0000 0.0000 0.5000 [4 per cell]

=====

SmPa2Al: optimized geometry, PBE-GGA.

Formation enthalpy at 0 K ... 0.9 eV/f.u.
Size of the total moment ... 0.000 μB/atom
ρ ... 10.6 g/cm³
Electronic total energy ... -6.6433 eV/atom
Energy above the lowest structure with this stoichiometry ... 194 meV per atom

abc: 3.1508 3.1508 34.8349
angles: 90.00 90.00 120.00
Space group R-3m (No. 166, hexagonal axes)
One atom of each set of equivalent atoms:
1 Sm 0.0000 0.0000 0.0000 [3 per cell]
2 Pa 0.0000 0.0000 0.0924 [6 per cell]
3 Al 0.0000 0.0000 0.5000 [3 per cell]

=====

Sm2PaAl: optimized geometry, PBE-GGA.

Formation enthalpy at 0 K ... 0.0 eV/f.u.
Size of the total moment ... 0.119 μB/atom
ρ ... 8.6 g/cm³
Electronic total energy ... -5.6806 eV/atom
Energy above the lowest structure with this stoichiometry ... 0 meV per atom

abc: 3.4343 3.4343 9.1426
angles: 90.00 90.00 90.00
Space group P4/mmm (No. 123)
One atom of each set of equivalent atoms:
1 Sm 0.0000 0.0000 0.2270 [2 per cell]
2 Pa 0.5000 0.5000 0.5000 [1 per cell]
3 Al 0.5000 0.5000 0.0000 [1 per cell]

=====

SmPaAlTc: optimized geometry, PBE-GGA.

Formation enthalpy at 0 K ... 0.0 eV/f.u.
Size of the total moment ... 0.000 μB/atom
ρ ... 9.5 g/cm³
Electronic total energy ... -7.0909 eV/atom

abc: 7.0778 7.0778 7.0778
angles: 90.00 90.00 90.00
Space group F-43m (No. 216)
One atom of each set of equivalent atoms:
1 Sm 0.0000 0.0000 0.0000 [4 per cell]
2 Pa 0.0000 0.0000 0.5000 [4 per cell]
3 Al 0.2500 0.2500 0.2500 [4 per cell]
4 Tc 0.2500 0.2500 0.7500 [4 per cell]

=====

Pa2AlSn: optimized geometry, PBE-GGA.

Formation enthalpy at 0 K ... 0.3 eV/f.u.
Size of the total moment ... 0.003 μB/atom
ρ ... 10.1 g/cm³
Electronic total energy ... -6.6199 eV/atom
Energy above the lowest structure with this stoichiometry ... 217 meV per atom

abc: 4.9701 4.9701 14.0491
angles: 90.00 90.00 120.00
Space group R-3m (No. 166, hexagonal axes)
One atom of each set of equivalent atoms:
1 Pa 0.0000 0.0000 0.2458 [6 per cell]
2 Al 0.0000 0.0000 0.5000 [3 per cell]
3 Sn 0.0000 0.0000 0.0000 [3 per cell]

=====

Pa2AlSn: optimized geometry, PBE-GGA.

Formation enthalpy at 0 K ... -0.6 eV/f.u.
Size of the total moment ... 0.160 μB/atom
ρ ... 10.8 g/cm³
Electronic total energy ... -6.8367 eV/atom
Energy above the lowest structure with this stoichiometry ... 0 meV per atom

abc: 4.4723 4.4723 4.6548
angles: 90.00 90.00 90.00
Space group P4/mmm (No. 123)
One atom of each set of equivalent atoms:
1 Pa 0.0000 0.5000 0.0000 [2 per cell]
2 Al 0.0000 0.0000 0.5000 [1 per cell]
3 Sn 0.5000 0.5000 0.5000 [1 per cell]

=====

Pa2AlSn: optimized geometry, PBE-GGA.

Formation enthalpy at 0 K ... -0.6 eV/f.u.
Size of the total moment ... 0.341 μB/atom
ρ ... 10.7 g/cm³
Electronic total energy ... -6.8302 eV/atom
Energy above the lowest structure with this stoichiometry ... 7 meV per atom

abc: 3.2321 3.2321 9.0207
angles: 90.00 90.00 90.00
Space group P4/mmm (No. 123)
One atom of each set of equivalent atoms:
1 Pa 0.0000 0.0000 0.2348 [2 per cell]
2 Al 0.5000 0.5000 0.0000 [1 per cell]
3 Sn 0.5000 0.5000 0.5000 [1 per cell]

=====

PaAlSn: optimized geometry, PBE-GGA.

Formation enthalpy at 0 K ... -0.3 eV/f.u.
Size of the total moment ... 0.002 μB/atom
ρ ... 8.9 g/cm³
Electronic total energy ... -5.8329 eV/atom

abc: 4.6298 4.6298 3.7761
angles: 90.00 90.00 120.00
Space group P-6m2 (No. 187)
One atom of each set of equivalent atoms:
1 Pa 0.0000 0.0000 0.0000 [1 per cell]
2 Al 0.3333 0.6667 0.5000 [1 per cell]
3 Sn 0.6667 0.3333 0.5000 [1 per cell]

=====

Pa2AlSn2: optimized geometry, PBE-GGA.

Formation enthalpy at 0 K ... -0.4 eV/f.u.
Size of the total moment ... 0.001 μB/atom
ρ ... 9.5 g/cm³
Electronic total energy ... -6.2290 eV/atom

abc: 4.7896 4.7896 12.7867
angles: 90.00 90.00 120.00
Space group P6_3/mmc (No. 194)
One atom of each set of equivalent atoms:
1 Pa 0.3333 0.6667 0.1140 [4 per cell]
2 Al 0.0000 0.0000 0.2500 [2 per cell]
3 Sn 0.0000 0.0000 0.0000 [2 per cell]
4 Sn 0.3333 0.6667 0.7500 [2 per cell]

=====

PaAlSn: optimized geometry, PBE-GGA.

Formation enthalpy at 0 K ... 0.4 eV/f.u.
Size of the total moment ... 0.000 μB/atom
ρ ... 7.8 g/cm³
Electronic total energy ... -5.6211 eV/atom

abc: 4.0107 4.2383 4.7106
angles: 90.00 90.00 90.00
Space group Pmmm (No. 47)
One atom of each set of equivalent atoms:
1 Pa 0.0000 0.0000 0.0000 [1 per cell]
2 Al 0.5000 0.0000 0.5000 [1 per cell]
3 Sn 0.0000 0.5000 0.5000 [1 per cell]